{"formula": "Li2P", "functional": "SCAN", "state": "PBEsol geometry", "lattice": [[4.094, 0.000, 0.000], [-2.047, 3.546, 0.000], [0.000, 0.000, 2.655]], "species": ["Li", "Li", "P"], "fractional_positions": [[0.333, 0.667, 0.000], [0.667, 0.333, 0.000], [0.000, 0.000, 0.500]], "mass_density_g_cm3": 1.93, "e_tot_ev_per_atom": -5.618, "dos_at_fermi_per_ev_cell": 0.8, "de_polymorph_ev_per_atom": 0.072}

***

{"formula": "Li2P", "functional": "SCAN", "state": "PBEsol geometry", "lattice": [[1.370, -6.902, 0.000], [1.370, 6.902, 0.000], [0.000, 0.000, 4.176]], "species": ["Li", "Li", "Li", "Li", "P", "P"], "fractional_positions": [[0.052, 0.948, 0.750], [0.275, 0.725, 0.250], [0.725, 0.275, 0.750], [0.948, 0.052, 0.250], [0.378, 0.622, 0.750], [0.622, 0.378, 0.250]], "mass_density_g_cm3": 1.89, "e_tot_ev_per_atom": -5.683, "dos_at_fermi_per_ev_cell": 1.2, "de_polymorph_ev_per_atom": 0.006}

***

{"formula": "LiP7", "functional": "SCAN", "state": "PBEsol geometry", "lattice": [[-6.651, 6.651, 7.269], [6.651, -6.651, 7.269], [6.651, 6.651, -7.269]], "species": ["Li", "Li", "Li", "Li", "Li", "Li", "Li", "Li", "P", "P", "P", "P", "P", "P", "P", "P", "P", "P", "P", "P", "P", "P", "P", "P", "P", "P", "P", "P", "P", "P", "P", "P", "P", "P", "P", "P", "P", "P", "P", "P", "P", "P", "P", "P", "P", "P", "P", "P", "P", "P", "P", "P", "P", "P", "P", "P", "P", "P", "P", "P", "P", "P", "P", "P"], "fractional_positions": [[0.004, 0.754, 0.508], [0.246, 0.254, 0.250], [0.254, 0.504, 0.008], [0.496, 0.004, 0.750], [0.504, 0.996, 0.250], [0.746, 0.496, 0.992], [0.754, 0.746, 0.750], [0.996, 0.246, 0.492], [0.004, 0.496, 0.655], [0.004, 0.496, 0.845], [0.008, 0.785, 0.868], [0.082, 0.090, 0.878], [0.083, 0.715, 0.723], [0.090, 0.711, 0.008], [0.140, 0.008, 0.723], [0.150, 0.158, 0.655], [0.158, 0.004, 0.008], [0.203, 0.082, 0.492], [0.205, 0.250, 0.455], [0.211, 0.590, 0.508], [0.215, 0.583, 0.223], [0.250, 0.295, 0.045], [0.250, 0.795, 0.545], [0.285, 0.508, 0.368], [0.289, 0.797, 0.378], [0.295, 0.750, 0.045], [0.297, 0.789, 0.878], [0.342, 0.350, 0.845], [0.350, 0.004, 0.008], [0.360, 0.083, 0.868], [0.410, 0.418, 0.622], [0.417, 0.140, 0.632], [0.418, 0.297, 0.008], [0.492, 0.360, 0.777], [0.496, 0.150, 0.492], [0.496, 0.342, 0.492], [0.504, 0.658, 0.508], [0.504, 0.850, 0.508], [0.508, 0.640, 0.223], [0.582, 0.703, 0.992], [0.583, 0.860, 0.368], [0.590, 0.582, 0.378], [0.640, 0.917, 0.132], [0.650, 0.996, 0.992], [0.658, 0.650, 0.155], [0.703, 0.211, 0.122], [0.705, 0.250, 0.955], [0.711, 0.203, 0.622], [0.715, 0.492, 0.632], [0.750, 0.205, 0.455], [0.750, 0.705, 0.955], [0.785, 0.417, 0.777], [0.789, 0.410, 0.492], [0.795, 0.750, 0.545], [0.797, 0.918, 0.508], [0.842, 0.996, 0.992], [0.850, 0.842, 0.345], [0.860, 0.992, 0.277], [0.910, 0.289, 0.992], [0.917, 0.285, 0.277], [0.918, 0.910, 0.122], [0.992, 0.215, 0.132], [0.996, 0.504, 0.155], [0.996, 0.504, 0.345]], "mass_density_g_cm3": 2.31, "e_tot_ev_per_atom": -9.589, "dos_at_fermi_per_ev_cell": 0.0, "de_polymorph_ev_per_atom": 0.000}

***

{"formula": "LiP", "functional": "SCAN", "state": "PBEsol geometry", "lattice": [[1.282, -4.680, 0.000], [1.282, 4.680, 0.000], [0.000, 0.000, 4.572]], "species": ["Li", "Li", "P", "P"], "fractional_positions": [[0.162, 0.838, 0.750], [0.838, 0.162, 0.250], [0.431, 0.569, 0.750], [0.569, 0.431, 0.250]], "mass_density_g_cm3": 2.29, "e_tot_ev_per_atom": -6.650, "dos_at_fermi_per_ev_cell": 1.0, "de_polymorph_ev_per_atom": 0.345}

***

{"formula": "Li2P", "functional": "SCAN", "state": "PBEsol geometry", "lattice": [[-1.368, 1.934, 3.718], [1.368, -1.934, 3.718], [1.368, 1.934, -3.718]], "species": ["Li", "Li", "P"], "fractional_positions": [[0.159, 0.159, 0.000], [0.841, 0.841, 0.000], [0.500, 0.500, 0.000]], "mass_density_g_cm3": 1.89, "e_tot_ev_per_atom": -5.689, "dos_at_fermi_per_ev_cell": 0.5, "de_polymorph_ev_per_atom": 0.000}

***

{"formula": "LiP", "functional": "SCAN", "state": "PBEsol geometry", "lattice": [[4.932, -1.387, 0.000], [4.932, 1.387, 0.000], [-1.628, 0.000, 4.125]], "species": ["Li", "Li", "P", "P"], "fractional_positions": [[0.129, 0.129, 0.243], [0.871, 0.871, 0.757], [0.399, 0.399, 0.287], [0.601, 0.601, 0.713]], "mass_density_g_cm3": 2.23, "e_tot_ev_per_atom": -6.842, "dos_at_fermi_per_ev_cell": 1.0, "de_polymorph_ev_per_atom": 0.153}

***

{"formula": "Li5P", "functional": "SCAN", "state": "PBEsol geometry", "lattice": [[2.044, -5.330, 0.000], [2.044, 5.330, 0.000], [0.000, 0.000, 4.076]], "species": ["Li", "Li", "Li", "Li", "Li", "P"], "fractional_positions": [[0.000, 0.000, 0.000], [0.151, 0.849, 0.500], [0.358, 0.642, 0.000], [0.642, 0.358, 0.000], [0.849, 0.151, 0.500], [0.500, 0.500, 0.500]], "mass_density_g_cm3": 1.23, "e_tot_ev_per_atom": -4.139, "dos_at_fermi_per_ev_cell": 1.0}

***

{"formula": "LiP", "functional": "SCAN", "state": "PBEsol geometry", "lattice": [[4.231, 0.000, 0.000], [-2.116, 3.664, 0.000], [0.000, 0.000, 7.703]], "species": ["Li", "Li", "Li", "Li", "P", "P", "P", "P"], "fractional_positions": [[0.333, 0.667, 0.082], [0.333, 0.667, 0.418], [0.667, 0.333, 0.582], [0.667, 0.333, 0.918], [0.000, 0.000, 0.250], [0.000, 0.000, 0.750], [0.333, 0.667, 0.750], [0.667, 0.333, 0.250]], "mass_density_g_cm3": 2.11, "e_tot_ev_per_atom": -6.571, "dos_at_fermi_per_ev_cell": 2.4, "de_polymorph_ev_per_atom": 0.424}

***

{"formula": "Li3P7", "functional": "SCAN", "state": "PBEsol geometry", "lattice": [[7.535, 0.000, 0.000], [0.000, 9.662, 0.000], [0.000, 0.000, 10.367]], "species": ["Li", "Li", "Li", "Li", "Li", "Li", "Li", "Li", "Li", "Li", "Li", "Li", "P", "P", "P", "P", "P", "P", "P", "P", "P", "P", "P", "P", "P", "P", "P", "P", "P", "P", "P", "P", "P", "P", "P", "P", "P", "P", "P", "P"], "fractional_positions": [[0.074, 0.023, 0.012], [0.093, 0.803, 0.804], [0.145, 0.687, 0.318], [0.355, 0.313, 0.818], [0.407, 0.197, 0.304], [0.426, 0.977, 0.512], [0.574, 0.477, 0.988], [0.593, 0.697, 0.196], [0.645, 0.813, 0.682], [0.855, 0.187, 0.182], [0.907, 0.303, 0.696], [0.926, 0.523, 0.488], [0.035, 0.927, 0.231], [0.037, 0.943, 0.568], [0.093, 0.637, 0.004], [0.128, 0.279, 0.003], [0.139, 0.050, 0.386], [0.183, 0.426, 0.618], [0.219, 0.374, 0.182], [0.281, 0.626, 0.682], [0.317, 0.574, 0.118], [0.361, 0.950, 0.886], [0.372, 0.721, 0.503], [0.407, 0.363, 0.504], [0.463, 0.057, 0.068], [0.465, 0.073, 0.731], [0.535, 0.573, 0.769], [0.537, 0.557, 0.432], [0.593, 0.863, 0.996], [0.628, 0.221, 0.997], [0.639, 0.450, 0.614], [0.683, 0.074, 0.382], [0.719, 0.126, 0.818], [0.781, 0.874, 0.318], [0.817, 0.926, 0.882], [0.861, 0.550, 0.114], [0.872, 0.779, 0.497], [0.907, 0.137, 0.496], [0.963, 0.443, 0.932], [0.965, 0.427, 0.269]], "mass_density_g_cm3": 2.09, "e_tot_ev_per_atom": -8.415, "dos_at_fermi_per_ev_cell": 0.0}

***

{"formula": "LiP7", "functional": "SCAN", "state": "PBEsol geometry", "lattice": [[0.000, 3.825, 3.825], [3.825, 0.000, 3.825], [3.825, 3.825, 0.000]], "species": ["Li", "P", "P", "P", "P", "P", "P", "P"], "fractional_positions": [[0.000, 0.000, 0.000], [0.000, 0.000, 0.500], [0.000, 0.500, 0.000], [0.000, 0.500, 0.500], [0.500, 0.000, 0.000], [0.500, 0.000, 0.500], [0.500, 0.500, 0.000], [0.500, 0.500, 0.500]], "mass_density_g_cm3": 3.32, "e_tot_ev_per_atom": -8.708, "dos_at_fermi_per_ev_cell": 3.5, "de_polymorph_ev_per_atom": 0.881}